# 1
Density functional theory data (PBE-GGA) for crystalline CeSc2Te at its relaxed geometry.

Structure (POSCAR):
```
CeSc2Te
1.0
-3.941 -0.454 -1.776
1.890 -2.269 -3.614
-0.550 -4.049 2.254
Sc Te Ce
2 1 1
Direct
0.000 0.000 0.500
0.000 0.500 0.000
0.500 0.000 0.000
0.500 0.500 0.500
```

Summary:
The crystal system is tetragonal. As for the space group: P4/mmm (123). For the density of states at the Fermi level, the calculation gives 5.67 states/eV per cell. The value obtained for the raw formation energy is -0.4506 eV per atom. The energy above the most stable polymorph in this dataset comes out at 30 meV/atom. As for the calculated volume: 23.67 Å³ per atom. The value obtained for the total magnetization is 0.0 μB/cell.

***

# 2
Density functional theory data (PBE-GGA) for crystalline Er6Tl3N at its relaxed geometry.

Structure (POSCAR):
```
Er6Tl3N
1.0
6.869 -1.233 -0.871
2.402 6.162 0.245
2.402 2.290 5.726
Er Tl N
6 3 1
Direct
0.358 0.157 0.639
0.642 0.361 0.843
0.642 0.843 0.361
0.358 0.639 0.157
0.171 0.665 0.665
0.829 0.335 0.335
0.269 0.177 0.177
0.731 0.823 0.823
0.000 0.000 0.000
0.500 0.500 0.500
```

Summary:
The crystal system is monoclinic. As for the space group: C2/m (12). For the density of states at the Fermi level, the calculation gives 7.54 states/eV per cell. The value obtained for the raw formation energy is -0.4255 eV per atom. As for the calculated volume: 26.29 Å³ per atom. The value obtained for the total magnetization is 0.0 μB/cell.

***

# 3
Density functional theory data (PBE-GGA) for crystalline NdTm8Cd6 at its relaxed geometry.

Structure (POSCAR):
```
NdTm8Cd6
1.0
-3.251 -8.271 -0.845
5.040 -6.432 -3.595
2.819 -6.359 4.246
Nd Tm Cd
1 8 6
Direct
0.000 0.000 0.000
0.555 0.215 0.348
0.785 0.118 0.652
0.118 0.445 0.652
0.667 0.667 0.998
0.333 0.333 0.002
0.882 0.555 0.348
0.215 0.882 0.348
0.445 0.785 0.652
0.394 0.054 0.839
0.946 0.287 0.161
0.287 0.606 0.161
0.713 0.394 0.839
0.054 0.713 0.839
0.606 0.946 0.161
```

Summary:
The crystal system is trigonal. As for the space group: R-3 (148). For the density of states at the Fermi level, the calculation gives 17.37 states/eV per cell. As for the calculated volume: 29.04 Å³ per atom. Its formation energy from the elements is -0.05 eV per atom. The value obtained for the total magnetization is 0.0 μB/cell.